A relaxed Tm6Cd2C crystal. Source: the Alexandria database, functional PBE.

extended XYZ file:
```
18
Lattice="6.8565 0.0000 0.0000 0.0000 6.8452 0.0000 -6.8498 0.0000 9.6061" Properties=species:S:1:pos:R:3 pbc="T T T"
Tm -0.4410 6.8443 2.4492
Tm -3.8659 3.4235 7.2523
Tm -1.6728 1.6748 5.1226
Tm 1.7520 1.7478 0.3195
Tm 1.7603 5.1053 0.3193
Tm -1.6645 5.1625 5.1224
Tm 1.6713 1.6827 4.4837
Tm -1.7536 1.7399 9.2868
Tm -1.7452 5.0974 9.2866
Tm 1.6796 5.1704 4.4836
Tm 0.4478 0.0009 7.1569
Tm 3.8727 3.4217 2.3538
Cd -3.3995 6.8420 7.2137
Cd 0.0254 3.4257 2.4107
Cd 3.4062 0.0031 2.3924
Cd -0.0186 3.4195 7.1954
C 0.0034 0.0000 4.8031
C 3.4283 3.4226 0.0000
```

Summary:
* energy of formation from the pure elements: -28.0 kJ/mol of atoms
* energy: -4.4997 eV per atom
* crystal system: monoclinic
* D(E_F): 5.7 states/eV per cell

A relaxed SbTeI2N crystal. Source: the Alexandria database, functional PBE.

extended XYZ file:
```
5
Lattice="6.2908 0.0000 0.0000 0.0000 6.2908 0.0000 0.0000 0.0000 3.9588" Properties=species:S:1:pos:R:3 pbc="T T T"
Sb 0.0000 0.0000 0.0000
Te 3.1454 3.1454 1.9794
I 0.0000 3.1454 1.9794
I 3.1454 0.0000 1.9794
N 3.1454 3.1454 0.0000
```

Summary:
* energy: -2.8962 eV per atom
* crystal system: tetragonal
* E_form (uncorrected): 0.84 eV per atom
* D(E_F): 4.2 states/eV per cell

A relaxed Tl2VGa crystal. Source: the Alexandria database, functional PBE.

extended XYZ file:
```
8
Lattice="-3.9964 3.9964 3.0025 3.9964 -3.9964 3.0025 3.9964 3.9964 -3.0025" Properties=species:S:1:pos:R:3 pbc="T T T"
Tl 5.9945 1.9810 -0.7506
Tl 1.9810 1.9982 0.7506
Tl -1.9982 2.0154 2.2519
Tl 2.0154 1.9982 3.7532
V 0.0000 0.0000 0.0000
V 0.0000 3.9964 1.5013
Ga 3.9964 0.0000 1.5013
Ga 0.0000 0.0000 3.0025
```

Summary:
* energy of formation from the pure elements: 58.1 kJ/mol of atoms
* energy: -3.6170 eV per atom
* crystal system: tetragonal
* D(E_F): 11.0 states/eV per cell

A relaxed Cr5HgTe8 crystal. Source: the Alexandria database, functional PBE.

extended XYZ file:
```
14
Lattice="10.2856 -1.9727 0.0000 10.2856 1.9727 0.0000 -2.3187 0.0000 9.2236" Properties=species:S:1:pos:R:3 pbc="T T T"
Cr 0.0000 0.0000 0.0000
Cr 0.1370 0.0000 3.1989
Cr 7.0062 0.0000 0.1383
Cr 11.5571 0.0000 6.3019
Cr 14.0133 0.0000 0.2773
Hg 16.1471 0.0000 4.7511
Te 0.1237 0.0000 7.9066
Te 2.3127 0.0000 4.7814
Te 4.7939 0.0000 1.7490
Te 6.9006 0.0000 7.7520
Te 9.3814 0.0000 4.7194
Te 11.5706 0.0000 1.5943
Te 13.8478 0.0000 7.8550
Te 18.4176 0.0000 1.6451
```

Summary:
* energy: -5.4426 eV per atom
* crystal system: monoclinic
* E_form (uncorrected): -0.19 eV per atom
* D(E_F): 4.3 states/eV per cell

A relaxed Nb3Co3Ir crystal. Source: the Alexandria database, functional PBE.

extended XYZ file:
```
14
Lattice="1.9407 -4.4653 0.0000 1.9407 4.4653 0.0000 0.0000 0.0000 11.8619" Properties=species:S:1:pos:R:3 pbc="T T T"
Nb 1.9407 4.2755 8.8964
Nb 1.9407 1.7284 7.1365
Nb 1.9407 1.7284 10.6563
Nb 1.9407 -1.7284 1.2056
Nb 1.9407 -1.7284 4.7254
Nb 1.9407 -4.2755 2.9655
Co 1.9407 2.3044 2.9655
Co 1.9407 0.9091 1.2340
Co 1.9407 0.9091 4.6970
Co 1.9407 -0.9091 7.1649
Co 1.9407 -0.9091 10.6279
Co 1.9407 -2.3044 8.8964
Ir 0.0000 0.0000 0.0000
Ir 0.0000 0.0000 5.9309
```

Summary:
* energy of formation from the pure elements: -13.2 kJ/mol of atoms
* energy: -8.7641 eV per atom
* crystal system: orthorhombic
* D(E_F): 16.2 states/eV per cell

A relaxed LiCrGeMo crystal. Source: the Alexandria database, functional PBE.

extended XYZ file:
```
4
Lattice="0.0000 2.9793 2.9793 2.9793 0.0000 2.9793 2.9793 2.9793 0.0000" Properties=species:S:1:pos:R:3 pbc="T T T"
Li 0.0000 0.0000 0.0000
Cr 2.9793 2.9793 2.9793
Ge 4.4689 4.4689 4.4689
Mo 1.4896 1.4896 1.4896
```

Summary:
* energy of formation from the pure elements: -1.9 kJ/mol of atoms
* energy: -6.7661 eV per atom
* crystal system: cubic
* D(E_F): 1.0 states/eV per cell

A relaxed CdHg3Te4 crystal. Source: the Alexandria database, functional PBE.

extended XYZ file:
```
8
Lattice="6.6381 0.0000 0.0000 0.0000 6.6381 0.0000 0.0000 0.0000 6.6381" Properties=species:S:1:pos:R:3 pbc="T T T"
Cd 0.0000 0.0000 0.0000
Hg 0.0000 3.3191 3.3191
Hg 3.3191 0.0000 3.3191
Hg 3.3191 3.3191 0.0000
Te 1.6552 1.6552 1.6552
Te 1.6552 4.9829 4.9829
Te 4.9829 1.6552 4.9829
Te 4.9829 4.9829 1.6552
```

Summary:
* energy: -2.0376 eV per atom
* crystal system: cubic
* E_form (uncorrected): -0.24 eV per atom
* D(E_F): 0.8 states/eV per cell

A relaxed ZrSn4Pd15 crystal. Source: the Alexandria database, functional PBE.

extended XYZ file:
```
20
Lattice="4.0384 0.0000 0.0000 0.0000 4.0384 0.0000 0.0000 0.0000 20.2103" Properties=species:S:1:pos:R:3 pbc="T T T"
Zr 0.0000 0.0000 0.0000
Sn 0.0000 0.0000 4.0633
Sn 0.0000 0.0000 8.0971
Sn 0.0000 0.0000 12.1132
Sn 0.0000 0.0000 16.1470
Pd 0.0000 2.0192 1.9958
Pd 0.0000 2.0192 6.0568
Pd 0.0000 2.0192 10.1052
Pd 0.0000 2.0192 14.1536
Pd 0.0000 2.0192 18.2145
Pd 2.0192 0.0000 1.9958
Pd 2.0192 0.0000 6.0568
Pd 2.0192 0.0000 10.1052
Pd 2.0192 0.0000 14.1536
Pd 2.0192 0.0000 18.2145
Pd 2.0192 2.0192 0.0000
Pd 2.0192 2.0192 4.0293
Pd 2.0192 2.0192 8.0732
Pd 2.0192 2.0192 12.1371
Pd 2.0192 2.0192 16.1810
```

Summary:
* energy of formation from the pure elements: -55.2 kJ/mol of atoms
* energy: -5.6950 eV per atom
* crystal system: tetragonal
* D(E_F): 3.2 states/eV per cell

A relaxed SrNiTe crystal. Source: the Alexandria database, functional PBE.

extended XYZ file:
```
6
Lattice="5.4801 0.0000 0.0000 0.0000 4.3051 0.0000 -1.0964 0.0000 6.8396" Properties=species:S:1:pos:R:3 pbc="T T T"
Sr 0.7789 1.0763 1.7559
Sr 3.6048 3.2288 5.0837
Ni 1.0890 3.2288 6.4537
Ni 3.2948 1.0763 0.3859
Te 0.7006 1.0763 5.1226
Te 3.6831 3.2288 1.7170
```

Summary:
* energy: -4.3083 eV per atom
* crystal system: monoclinic
* E_form (uncorrected): -0.77 eV per atom
* D(E_F): 2.9 states/eV per cell

A relaxed Eu2MgS4 crystal. Source: the Alexandria database, functional PBE.

extended XYZ file:
```
28
Lattice="13.0911 0.0000 0.0000 0.0000 3.9373 0.0000 0.0000 0.0000 13.7124" Properties=species:S:1:pos:R:3 pbc="T T T"
Eu 1.6102 0.9843 0.9541
Eu 1.6600 0.9843 9.6945
Eu 4.8855 2.9530 2.8383
Eu 4.9354 2.9530 7.8103
Eu 8.1558 0.9843 5.9021
Eu 8.2056 0.9843 10.8741
Eu 11.4311 2.9530 4.0179
Eu 11.4810 2.9530 12.7583
Mg 1.3967 2.9530 6.3415
Mg 5.1489 0.9843 13.1977
Mg 7.9422 2.9530 0.5148
Mg 11.6945 0.9843 7.3710
S 0.0148 0.9843 5.2664
S 0.2878 0.9843 12.1656
S 2.9733 0.9843 7.0685
S 3.0450 0.9843 3.3551
S 3.5005 2.9530 10.2113
S 3.5723 2.9530 0.2123
S 6.2578 2.9530 5.3094
S 6.5307 2.9530 12.1226
S 6.5604 0.9843 1.5898
S 6.8333 0.9843 8.4030
S 9.5189 0.9843 13.5001
S 9.5906 0.9843 3.5011
S 10.0461 2.9530 10.3573
S 10.1178 2.9530 6.6439
S 12.8034 2.9530 1.5468
S 13.0763 2.9530 8.4460
```

Summary:
* energy: -6.9777 eV per atom
* crystal system: orthorhombic
* E_form (uncorrected): -1.46 eV per atom
* D(E_F): 28.8 states/eV per cell

A relaxed NaMg2ZnH crystal. Source: the Alexandria database, functional PBE.

extended XYZ file:
```
5
Lattice="4.3682 0.0000 0.0000 0.0000 4.3682 0.0000 0.0000 0.0000 4.5765" Properties=species:S:1:pos:R:3 pbc="T T T"
Na 0.0000 0.0000 0.0000
Mg 0.0000 2.1841 2.2882
Mg 2.1841 0.0000 2.2882
Zn 2.1841 2.1841 0.0000
H 0.0000 0.0000 2.2882
```

Summary:
* energy: -1.7637 eV per atom
* crystal system: tetragonal
* D(E_F): 1.0 states/eV per cell

A relaxed Li6In2Rh crystal. Source: the Alexandria database, functional PBE.

extended XYZ file:
```
9
Lattice="6.1801 -2.6498 0.0000 6.1801 2.6498 0.0000 -1.1907 0.0000 4.6486" Properties=species:S:1:pos:R:3 pbc="T T T"
Li 3.9399 1.4307 3.9150
Li 1.6972 0.0000 3.4032
Li 7.2296 1.4307 0.7336
Li 3.9399 -1.4307 3.9150
Li 9.4723 0.0000 1.2454
Li 7.2296 -1.4307 0.7336
In 4.3480 0.0000 1.5195
In 6.8214 0.0000 3.1291
Rh -0.5954 0.0000 2.3243
```

Summary:
* energy of formation from the pure elements: -17.3 kJ/mol of atoms
* energy: -2.8809 eV per atom
* crystal system: monoclinic
* D(E_F): 3.4 states/eV per cell

A relaxed LuNpOs2 crystal. Source: the Alexandria database, functional PBE.

extended XYZ file:
```
4
Lattice="0.0000 3.3606 3.3606 3.3606 0.0000 3.3606 3.3606 3.3606 0.0000" Properties=species:S:1:pos:R:3 pbc="T T T"
Lu 0.0000 0.0000 0.0000
Np 3.3606 3.3606 3.3606
Os 1.6803 1.6803 1.6803
Os 5.0409 5.0409 5.0409
```

Summary:
* energy of formation from the pure elements: -7.8 kJ/mol of atoms
* energy: -10.0610 eV per atom
* crystal system: cubic
* D(E_F): 4.9 states/eV per cell

A relaxed Ba2CaIr crystal. Source: the Alexandria database, functional PBE.

extended XYZ file:
```
4
Lattice="2.2014 1.2710 10.8624 -2.2014 1.2710 10.8624 0.0000 -2.5419 10.8624" Properties=species:S:1:pos:R:3 pbc="T T T"
Ba 0.0000 0.0000 7.1430
Ba 0.0000 0.0000 25.4443
Ca 0.0000 0.0000 0.0000
Ir 0.0000 0.0000 16.2937
```

Summary:
* energy of formation from the pure elements: 5.5 kJ/mol of atoms
* energy: -3.6198 eV per atom
* crystal system: trigonal
* D(E_F): 3.4 states/eV per cell

A relaxed V2Ga2Re crystal. Source: the Alexandria database, functional PBE.

extended XYZ file:
```
10
Lattice="6.6361 0.0000 0.0000 0.0000 6.6361 0.0000 0.0000 0.0000 3.2250" Properties=species:S:1:pos:R:3 pbc="T T T"
V 1.1367 2.1813 0.0000
V 2.1813 5.4994 0.0000
V 4.4548 1.1367 0.0000
V 5.4994 4.4548 0.0000
Ga 0.8666 4.1847 1.6125
Ga 2.4514 0.8666 1.6125
Ga 4.1847 5.7695 1.6125
Ga 5.7695 2.4514 1.6125
Re 0.0000 0.0000 1.6125
Re 3.3181 3.3181 1.6125
```

Summary:
* energy of formation from the pure elements: -5.5 kJ/mol of atoms
* energy: -7.4050 eV per atom
* crystal system: tetragonal
* D(E_F): 9.0 states/eV per cell

A relaxed ZrScCr2 crystal. Source: the Alexandria database, functional PBE.

extended XYZ file:
```
4
Lattice="1.6759 -2.3676 0.0000 1.6759 2.3676 0.0000 0.0000 0.0000 8.4972" Properties=species:S:1:pos:R:3 pbc="T T T"
Zr 0.0000 0.0000 0.0000
Sc 0.0000 0.0000 4.2486
Cr 1.6759 0.0000 2.1026
Cr 1.6759 0.0000 6.3946
```

Summary:
* energy of formation from the pure elements: 47.6 kJ/mol of atoms
* energy: -8.0383 eV per atom
* crystal system: orthorhombic
* D(E_F): 6.0 states/eV per cell

A relaxed NdSm3TmTh crystal. Source: the Alexandria database, functional PBE.

extended XYZ file:
```
12
Lattice="8.0707 0.0000 0.0000 0.0000 5.1047 0.0000 -3.2512 0.0000 9.6735" Properties=species:S:1:pos:R:3 pbc="T T T"
Nd 0.4249 1.2762 2.8330
Nd 4.3946 3.8286 6.8405
Sm -0.3738 3.8286 5.2618
Sm 1.2933 3.8286 0.4324
Sm -1.1373 1.2762 7.6809
Sm 5.9568 3.8286 1.9926
Sm 3.5262 1.2762 9.2411
Sm 5.1933 1.2762 4.4117
Tm 1.9972 1.2762 6.0705
Tm 2.8223 3.8286 3.6030
Th 1.1758 3.8286 8.4907
Th 3.6437 1.2762 1.1828
```

Summary:
* energy of formation from the pure elements: 3.0 kJ/mol of atoms
* energy: -5.1053 eV per atom
* crystal system: monoclinic
* D(E_F): 17.9 states/eV per cell

A relaxed SrLiIr2 crystal. Source: the Alexandria database, functional PBE.

extended XYZ file:
```
4
Lattice="2.6610 -4.5819 0.0000 2.6610 4.5819 0.0000 0.0000 0.0000 2.9959" Properties=species:S:1:pos:R:3 pbc="T T T"
Sr 0.0000 0.0000 0.0000
Li 2.6610 0.0000 0.0000
Ir 1.3305 2.2910 1.4979
Ir 1.3305 -2.2910 1.4979
```

Summary:
* energy of formation from the pure elements: 27.8 kJ/mol of atoms
* energy: -5.0414 eV per atom
* crystal system: orthorhombic
* D(E_F): 3.3 states/eV per cell

A relaxed ZrHF4 crystal. Source: the Alexandria database, functional PBE.

extended XYZ file:
```
12
Lattice="3.3371 -2.6095 0.0000 3.3371 2.6095 0.0000 -0.8375 0.0000 7.0673" Properties=species:S:1:pos:R:3 pbc="T T T"
Zr 2.7090 2.1120 5.3005
Zr 3.1278 -2.1120 1.7668
H 1.2498 1.3047 3.5337
H 1.6686 -1.3047 0.0000
F 3.0025 1.5378 0.2908
F 1.3624 0.3683 5.2411
F 3.2531 1.5378 3.2429
F 1.7812 -0.3683 1.7074
F 4.0557 0.3683 5.3599
F 2.5837 -1.5378 3.8245
F 4.4744 -0.3683 1.8263
F 2.8343 -1.5378 6.7765
```

Summary:
* energy: -5.7339 eV per atom
* crystal system: monoclinic
* D(E_F): 0.7 states/eV per cell

A relaxed YTePO2 crystal. Source: the Alexandria database, functional PBE.

extended XYZ file:
```
5
Lattice="4.2293 0.0000 0.0000 0.0000 4.2293 0.0000 0.0000 0.0000 6.1852" Properties=species:S:1:pos:R:3 pbc="T T T"
Y 0.0000 0.0000 0.0000
Te 2.1146 2.1146 3.0926
P 0.0000 0.0000 3.0926
O 0.0000 2.1146 0.0000
O 2.1146 0.0000 0.0000
```

Summary:
* energy: -5.8030 eV per atom
* crystal system: tetragonal
* E_form (uncorrected): -0.82 eV per atom
* D(E_F): 5.0 states/eV per cell